Below is a geometry-optimized AsW8 structure, with properties calculated at the GGA-PBE level.

abc: 6.1554 6.1554 6.1554
angles: 97.42 97.42 137.88
With the nearest neighbours (Å) after each atom.
Fractional coordinates of all 9 atoms:
W  0.3342  0.6658  0.0000  10 W 2.69-2.94, 2 As 2.92
W  0.6686  0.0000  0.6686  1 As 2.69, 11 W 2.71-2.94
W  0.3342  0.3342  0.6683  10 W 2.69-2.94, 2 As 2.92
W  0.6658  0.3342  0.0000  10 W 2.69-2.94, 2 As 2.92
W  0.0000  0.3314  0.3314  1 As 2.69, 11 W 2.71-2.94
W  0.3314  0.0000  0.3314  1 As 2.69, 11 W 2.71-2.94
As  0.0000  0.0000  0.0000  12 W 2.69-2.92
W  0.6658  0.6658  0.3317  10 W 2.69-2.94, 2 As 2.92
W  0.0000  0.6686  0.6686  1 As 2.69, 11 W 2.71-2.94

Calculated values
calculated volume = 16.22 A^3/atom
total energy = -11.65 eV per atom
magnetic moment = 0.00 μB/f.u.
energy of formation from the pure elements = 0.381 eV per atom
space group = I4/mmm

=====

Below is a geometry-optimized AsW structure, with properties calculated at the GGA-PBE level.

abc: 4.4790 3.2670 4.9160
angles: 70.91 90.00 90.00
With the nearest neighbours (Å) after each atom.
Fractional coordinates of all 4 atoms:
As  0.7500  0.3634  0.2757  7 W 2.59-2.83
W  0.2500  0.9231  0.1574  7 As 2.59-2.83, 2 W 2.67
As  0.2500  0.6366  0.7243  7 W 2.59-2.83
W  0.7500  0.0769  0.8426  7 As 2.59-2.83, 2 W 2.67

Calculated values
calculated volume = 16.99 A^3/atom
total energy = -8.57 eV per atom
magnetic moment = 0.00 μB/f.u.
energy of formation from the pure elements = 0.236 eV per atom
space group = P2_1/m

=====

Below is a geometry-optimized AsW structure, with properties calculated at the GGA-PBE level.

abc: 3.7159 3.7159 4.9833
angles: 90.00 90.00 90.00
With the nearest neighbours (Å) after each atom.
Fractional coordinates of all 4 atoms:
As  0.7500  0.2500  0.0000  4 As 2.63, 4 W 2.64
As  0.2500  0.7500  0.0000  4 As 2.63, 4 W 2.64
W  0.7500  0.7500  0.6240  4 As 2.64, 4 W 2.90
W  0.2500  0.2500  0.3760  4 As 2.64, 4 W 2.90

Calculated values
calculated volume = 17.20 A^3/atom
total energy = -8.19 eV per atom
magnetic moment = 0.00 μB/f.u.
energy of formation from the pure elements = 0.615 eV per atom
space group = P4/nmm

=====

Below is a geometry-optimized AsW structure, with properties calculated at the GGA-PBE level.

abc: 3.0140 3.0140 8.8834
angles: 90.00 90.00 120.00
With the nearest neighbours (Å) after each atom.
Fractional coordinates of all 4 atoms:
As  0.3333  0.6667  0.3969  4 W 2.56
As  0.6667  0.3333  0.8969  4 W 2.56
W  0.3333  0.6667  0.6851  4 As 2.56
W  0.6667  0.3333  0.1851  4 As 2.56

Calculated values
calculated volume = 17.47 A^3/atom
total energy = -8.37 eV per atom
magnetic moment = 0.00 μB/f.u.
energy of formation from the pure elements = 0.435 eV per atom
space group = P6_3mc

=====

- Among the records above, which one has the highest energy of formation from the pure elements?
  number 3

=====

- Which of these has the lowest calculated volume?
  AsW8